DFT (PBE with a Hubbard U) results for a relaxed MoAsW2F crystal.

Lattice parameters (Å, degrees): 4.8553 4.8553 5.1399 90.00 90.00 90.00
Element x y z (fractional)
1 Mo 0.0000 0.0000 0.0000
2 As 0.0000 0.0000 0.5000
3 W 0.0000 0.5000 0.5000
4 W 0.5000 0.0000 0.5000
5 F 0.5000 0.5000 0.0000

Values from the calculation:
Its magnetic moment is 6.2 μB per formula unit. As for the crystal system: tetragonal. As for the raw total energy: -3.92 eV/atom. The value obtained for the calculated volume is 121.2 Å³ per cell. The density of states at the Fermi level is 1.96 states/eV per cell.